Entry 1:
First-principles (PBE-GGA) data for a relaxed structure of YMnC2, as listed in Alexandria via LeMat-Bulk.

Geometry as CIF:
```
data_YMnC2
_chemical_formula_sum 'Y4 Mn4 C8'
_cell_length_a 5.734
_cell_length_b 5.734
_cell_length_c 5.734
_cell_angle_alpha 90.00
_cell_angle_beta 90.00
_cell_angle_gamma 90.00
_symmetry_space_group_name_H-M 'F m -3 m'
_symmetry_Int_Tables_number 225
_symmetry_space_group_name_Hall '-F 4 2 3'
loop_
_atom_site_label
_atom_site_type_symbol
_atom_site_fract_x
_atom_site_fract_y
_atom_site_fract_z
Y1 Y 0.000 0.000 0.000
Mn1 Mn 0.000 0.000 0.500
C1 C 0.250 0.250 0.250
```

## Properties
The density of states at the Fermi level is 11.53 states/eV per cell. The value obtained for the total magnetization is 2.03 μB per formula unit. The formation energy comes out at 0.925 eV per atom. The uncorrected energy is -7.5951 eV per atom.



Entry 2:
First-principles (PBE-GGA) data for a relaxed structure of Pa6CrN12, as listed in Alexandria via LeMat-Bulk.

Geometry as CIF:
```
data_Pa6CrN12
_chemical_formula_sum 'Pa18 Cr3 N36'
_cell_length_a 9.8328
_cell_length_b 9.8328
_cell_length_c 9.4481
_cell_angle_alpha 90.00
_cell_angle_beta 90.00
_cell_angle_gamma 120.00
_symmetry_space_group_name_H-M 'R -3'
_symmetry_Int_Tables_number 148
_symmetry_space_group_name_Hall '-R 3'
loop_
_atom_site_label
_atom_site_type_symbol
_atom_site_fract_x
_atom_site_fract_y
_atom_site_fract_z
Pa1 Pa 0.0526 0.2600 0.1583
Cr1 Cr 0.0000 0.0000 0.5000
N1 N 0.0355 0.2275 0.9025
N2 N 0.0410 0.1954 0.3946
```

## Properties
The density of states at the Fermi level is 4.22 states/eV per cell. The value obtained for the total magnetization is 0.05 μB per formula unit. The value obtained for the uncorrected formation energy is -1363 meV per atom. The uncorrected energy is -10.1259 eV per atom.



Entry 3:
First-principles (PBE-GGA) data for a relaxed structure of NaAsSe2O, as listed in Alexandria via LeMat-Bulk.

Geometry as CIF:
```
data_NaAsSe2O
_chemical_formula_sum 'Na1 As1 Se2 O1'
_cell_length_a 4.945
_cell_length_b 4.945
_cell_length_c 5.146
_cell_angle_alpha 90.00
_cell_angle_beta 90.00
_cell_angle_gamma 90.00
_symmetry_space_group_name_H-M 'P 4/m m m'
_symmetry_Int_Tables_number 123
_symmetry_space_group_name_Hall '-P 4 2'
loop_
_atom_site_label
_atom_site_type_symbol
_atom_site_fract_x
_atom_site_fract_y
_atom_site_fract_z
Na1 Na 0.000 0.000 0.000
As1 As 0.000 0.000 0.500
Se1 Se 0.000 0.500 0.000
O1 O 0.500 0.500 0.500
```

## Properties
The density of states at the Fermi level is 12.25 states/eV per cell. The value obtained for the total magnetization is 0.00 μB per formula unit. For the polymorph energy (0 for the lowest one), the calculation gives 1366 meV per atom. The value obtained for the uncorrected formation energy is 1424 meV per atom. The uncorrected energy is -2.1547 eV per atom.



Entry 4:
First-principles (PBE-GGA) data for a relaxed structure of MgCuGe2, as listed in Alexandria via LeMat-Bulk.

Geometry as CIF:
```
data_MgCuGe2
_chemical_formula_sum 'Mg1 Cu1 Ge2'
_cell_length_a 4.171
_cell_length_b 4.171
_cell_length_c 3.884
_cell_angle_alpha 90.00
_cell_angle_beta 90.00
_cell_angle_gamma 90.00
_symmetry_space_group_name_H-M 'P 4/m m m'
_symmetry_Int_Tables_number 123
_symmetry_space_group_name_Hall '-P 4 2'
loop_
_atom_site_label
_atom_site_type_symbol
_atom_site_fract_x
_atom_site_fract_y
_atom_site_fract_z
Mg1 Mg 0.000 0.000 0.000
Cu1 Cu 0.500 0.500 0.000
Ge1 Ge 0.000 0.500 0.500
```

## Properties
The density of states at the Fermi level is 1.20 states/eV per cell. The value obtained for the total magnetization is 0.00 μB per formula unit. The formation energy comes out at 0.040 eV per atom. The uncorrected energy is -3.6915 eV per atom.



Entry 5:
First-principles (PBE-GGA) data for a relaxed structure of TmGa4Cu8, as listed in Alexandria via LeMat-Bulk.

Geometry as CIF:
```
data_TmGa4Cu8
_chemical_formula_sum 'Tm2 Ga8 Cu16'
_cell_length_a 8.554
_cell_length_b 8.554
_cell_length_c 5.042
_cell_angle_alpha 90.00
_cell_angle_beta 90.00
_cell_angle_gamma 90.00
_symmetry_space_group_name_H-M 'I 4/m m m'
_symmetry_Int_Tables_number 139
_symmetry_space_group_name_Hall '-I 4 2'
loop_
_atom_site_label
_atom_site_type_symbol
_atom_site_fract_x
_atom_site_fract_y
_atom_site_fract_z
Tm1 Tm 0.000 0.000 0.000
Ga1 Ga 0.250 0.250 0.250
Cu1 Cu 0.000 0.216 0.500
Cu2 Cu 0.000 0.353 0.000
```

## Properties
The density of states at the Fermi level is 9.24 states/eV per cell. The value obtained for the total magnetization is 0.00 μB per formula unit. The formation energy comes out at -0.169 eV per atom. The uncorrected energy is -3.9653 eV per atom.



Entry 6:
First-principles (PBE-GGA) data for a relaxed structure of AsPRhAu2, as listed in Alexandria via LeMat-Bulk.

Geometry as CIF:
```
data_AsPRhAu2
_chemical_formula_sum 'As1 P1 Rh1 Au2'
_cell_length_a 3.951
_cell_length_b 4.034
_cell_length_c 6.259
_cell_angle_alpha 84.24
_cell_angle_beta 88.32
_cell_angle_gamma 71.38
_symmetry_space_group_name_H-M 'P 1'
_symmetry_Int_Tables_number 1
loop_
_symmetry_equiv_pos_as_xyz
'x,y,z'
loop_
_atom_site_label
_atom_site_type_symbol
_atom_site_fract_x
_atom_site_fract_y
_atom_site_fract_z
As1 As 0.000 0.000 0.000
P1 P 0.460 0.576 0.410
Rh1 Rh 0.468 0.097 0.226
Au1 Au 0.384 0.467 0.808
Au2 Au 0.961 0.080 0.556
```

## Properties
The density of states at the Fermi level is 2.30 states/eV per cell. The value obtained for the total magnetization is 0.00 μB per formula unit. For the polymorph energy (0 for the lowest one), the calculation gives 100 meV per atom. The formation energy comes out at -0.026 eV per atom. The uncorrected energy is -4.8195 eV per atom.



Entry 7:
First-principles (PBE-GGA) data for a relaxed structure of K2AgIO, as listed in Alexandria via LeMat-Bulk.

Geometry as CIF:
```
data_K2AgIO
_chemical_formula_sum 'K2 Ag1 I1 O1'
_cell_length_a 5.750
_cell_length_b 5.750
_cell_length_c 4.214
_cell_angle_alpha 90.00
_cell_angle_beta 90.00
_cell_angle_gamma 90.00
_symmetry_space_group_name_H-M 'P 4/m m m'
_symmetry_Int_Tables_number 123
_symmetry_space_group_name_Hall '-P 4 2'
loop_
_atom_site_label
_atom_site_type_symbol
_atom_site_fract_x
_atom_site_fract_y
_atom_site_fract_z
K1 K 0.000 0.500 0.000
Ag1 Ag 0.000 0.000 0.500
I1 I 0.500 0.500 0.500
O1 O 0.000 0.000 0.000
```

## Properties
The value obtained for the total magnetization is 0.00 μB per formula unit. For the polymorph energy (0 for the lowest one), the calculation gives 0 meV per atom. The value obtained for the uncorrected formation energy is -994 meV per atom. The uncorrected energy is -3.3047 eV per atom.



Entry 8:
First-principles (PBE-GGA) data for a relaxed structure of ZrBRu3, as listed in Alexandria via LeMat-Bulk.

Geometry as CIF:
```
data_ZrBRu3
_chemical_formula_sum 'Zr2 B2 Ru6'
_cell_length_a 4.3565
_cell_length_b 4.3565
_cell_length_c 8.5609
_cell_angle_alpha 90.00
_cell_angle_beta 90.00
_cell_angle_gamma 120.00
_symmetry_space_group_name_H-M 'P 63/m m c'
_symmetry_Int_Tables_number 194
_symmetry_space_group_name_Hall '-P 6c 2c'
loop_
_atom_site_label
_atom_site_type_symbol
_atom_site_fract_x
_atom_site_fract_y
_atom_site_fract_z
Zr1 Zr 0.3333 0.6667 0.2500
B1 B 0.0000 0.0000 0.0000
Ru1 Ru 0.0000 0.0000 0.2500
Ru2 Ru 0.3333 0.6667 0.5874
```

## Properties
The density of states at the Fermi level is 12.22 states/eV per cell. The value obtained for the total magnetization is 0.00 μB per formula unit. The formation energy comes out at 0.132 eV per atom. The uncorrected energy is -8.4783 eV per atom.